# Nd4HfZn5

Crystalline Nd4HfZn5 at its relaxed geometry (PBE-GGA, the Alexandria database).

```
Nd4HfZn5
1.0
-0.1393 3.4415 -0.9943
-2.0167 0.7471 2.8683
15.0582 3.4117 9.6988
Hf Nd Zn
1 4 5
Cartesian
0.0000 0.0000 0.0000 Hf
12.2551 2.7766 7.8933 Nd
9.1066 2.0632 5.8654 Nd
2.8031 0.6351 1.8055 Nd
5.9517 1.3484 3.8334 Nd
6.4511 3.8001 5.7864 Zn
12.8114 5.2411 9.8829 Zn
3.3241 3.0916 3.7723 Zn
9.5782 4.5086 7.8004 Zn
0.0908 2.3591 1.6898 Zn
```

Properties
E_form: -250 meV per atom
Fermi-level density of states: 10.77 states/eV/f.u.
space group: P4/mmm (123)
crystal system: tetragonal